# KHgMo3 PBEsol optimized geometry
# formation enthalpy at 0 K = 2.6768 eV per atom
# M_tot = 2.1086 μB/atom
# crystal system = cubic
data_KHgMo3
_symmetry_space_group_name_H-M 'P 1'
_symmetry_Int_Tables_number 1
_symmetry_space_group_name_Hall 'P 1'
_cell_length_a 5.246
_cell_length_b 5.246
_cell_length_c 5.246
_cell_angle_alpha 90.00
_cell_angle_beta 90.00
_cell_angle_gamma 90.00
loop_
_atom_site_label
_atom_site_type_symbol
_atom_site_fract_x
_atom_site_fract_y
_atom_site_fract_z
Hg1 Hg 0.000 0.000 0.000
Mo1 Mo 0.000 0.500 0.000
Mo2 Mo 0.500 0.000 0.000
Mo3 Mo 0.000 0.000 0.500
K1 K 0.500 0.500 0.500

=====

# KHgMo2 PBEsol optimized geometry
# formation enthalpy at 0 K = 1.0019 eV per atom
# M_tot = 0.0001 μB/atom
# crystal system = monoclinic
data_KHgMo2
_symmetry_space_group_name_H-M 'P 1'
_symmetry_Int_Tables_number 1
_symmetry_space_group_name_Hall 'P 1'
_cell_length_a 2.705
_cell_length_b 5.114
_cell_length_c 6.480
_cell_angle_alpha 113.01
_cell_angle_beta 102.05
_cell_angle_gamma 90.00
loop_
_atom_site_label
_atom_site_type_symbol
_atom_site_fract_x
_atom_site_fract_y
_atom_site_fract_z
K1 K 0.000 0.500 0.000
Mo1 Mo 0.221 0.221 0.442
Mo2 Mo 0.779 0.779 0.558
Hg1 Hg 0.500 0.000 0.000

=====

# KHgMo PBEsol optimized geometry
# formation enthalpy at 0 K = 0.8949 eV per atom
# M_tot = 0.0785 μB/atom
# crystal system = tetragonal
data_KHgMo
_symmetry_space_group_name_H-M 'P 1'
_symmetry_Int_Tables_number 1
_symmetry_space_group_name_Hall 'P 1'
_cell_length_a 2.809
_cell_length_b 2.809
_cell_length_c 8.392
_cell_angle_alpha 99.63
_cell_angle_beta 99.63
_cell_angle_gamma 90.00
loop_
_atom_site_label
_atom_site_type_symbol
_atom_site_fract_x
_atom_site_fract_y
_atom_site_fract_z
Mo1 Mo 0.651 0.651 0.302
K1 K 0.335 0.335 0.670
Hg1 Hg 0.014 0.014 0.028

=====

# KHgMo4 PBEsol optimized geometry
# formation enthalpy at 0 K = 1.0633 eV per atom
# M_tot = 0.0001 μB/atom
# crystal system = cubic
data_KHgMo4
_symmetry_space_group_name_H-M 'P 1'
_symmetry_Int_Tables_number 1
_symmetry_space_group_name_Hall 'P 1'
_cell_length_a 5.383
_cell_length_b 5.383
_cell_length_c 5.383
_cell_angle_alpha 60.00
_cell_angle_beta 60.00
_cell_angle_gamma 60.00
loop_
_atom_site_label
_atom_site_type_symbol
_atom_site_fract_x
_atom_site_fract_y
_atom_site_fract_z
Mo1 Mo 0.373 0.373 0.882
Mo2 Mo 0.373 0.882 0.373
Mo3 Mo 0.373 0.373 0.373
Mo4 Mo 0.882 0.373 0.373
Hg1 Hg 0.750 0.750 0.750
K1 K 0.000 0.000 0.000

=====

# KHgMo2 PBEsol optimized geometry
# formation enthalpy at 0 K = 1.4005 eV per atom
# M_tot = 0.0000 μB/atom
# crystal system = tetragonal
data_KHgMo2
_symmetry_space_group_name_H-M 'P 1'
_symmetry_Int_Tables_number 1
_symmetry_space_group_name_Hall 'P 1'
_cell_length_a 3.912
_cell_length_b 3.912
_cell_length_c 5.112
_cell_angle_alpha 90.00
_cell_angle_beta 90.00
_cell_angle_gamma 90.00
loop_
_atom_site_label
_atom_site_type_symbol
_atom_site_fract_x
_atom_site_fract_y
_atom_site_fract_z
Mo1 Mo 0.500 0.000 0.000
Mo2 Mo 0.000 0.500 0.000
Hg1 Hg 0.500 0.500 0.500
K1 K 0.000 0.000 0.500

=====

# KHg2MoRu PBEsol optimized geometry
# formation enthalpy at 0 K = 2.6663 eV per atom
# M_tot = 0.9956 μB/atom
# crystal system = tetragonal
data_KHg2MoRu
_symmetry_space_group_name_H-M 'P 1'
_symmetry_Int_Tables_number 1
_symmetry_space_group_name_Hall 'P 1'
_cell_length_a 5.173
_cell_length_b 5.173
_cell_length_c 4.704
_cell_angle_alpha 90.00
_cell_angle_beta 90.00
_cell_angle_gamma 90.00
loop_
_atom_site_label
_atom_site_type_symbol
_atom_site_fract_x
_atom_site_fract_y
_atom_site_fract_z
Hg1 Hg 0.000 0.500 0.000
Hg2 Hg 0.500 0.000 0.000
Mo1 Mo 0.000 0.000 0.500
K1 K 0.000 0.000 0.000
Ru1 Ru 0.500 0.500 0.500

=====

# KHg2N2 PBEsol optimized geometry
# formation energy without anion corrections = 0.8580 eV/atom
# M_tot = 0.0001 μB/atom
# crystal system = tetragonal
data_KHg2N2
_symmetry_space_group_name_H-M 'P 1'
_symmetry_Int_Tables_number 1
_symmetry_space_group_name_Hall 'P 1'
_cell_length_a 4.419
_cell_length_b 4.419
_cell_length_c 5.901
_cell_angle_alpha 111.99
_cell_angle_beta 111.99
_cell_angle_gamma 90.00
loop_
_atom_site_label
_atom_site_type_symbol
_atom_site_fract_x
_atom_site_fract_y
_atom_site_fract_z
N1 N 0.250 0.750 0.500
N2 N 0.750 0.250 0.500
K1 K 0.000 0.000 0.000
Hg1 Hg 0.310 0.310 0.620
Hg2 Hg 0.690 0.690 0.380

=====

# KHgN2 PBEsol optimized geometry
# formation energy without anion corrections = 1.4130 eV/atom
# M_tot = 0.1320 μB/atom
# crystal system = trigonal
data_KHgN2
_symmetry_space_group_name_H-M 'P 1'
_symmetry_Int_Tables_number 1
_symmetry_space_group_name_Hall 'P 1'
_cell_length_a 3.482
_cell_length_b 3.482
_cell_length_c 7.290
_cell_angle_alpha 76.18
_cell_angle_beta 76.18
_cell_angle_gamma 60.00
loop_
_atom_site_label
_atom_site_type_symbol
_atom_site_fract_x
_atom_site_fract_y
_atom_site_fract_z
N1 N 0.120 0.120 0.639
N2 N 0.880 0.880 0.361
Hg1 Hg 0.500 0.500 0.500
K1 K 0.000 0.000 0.000

=====

# K2NaHgN PBEsol optimized geometry
# formation energy without anion corrections = 0.9513 eV/atom
# M_tot = 0.3647 μB/atom
# crystal system = tetragonal
data_K2NaHgN
_symmetry_space_group_name_H-M 'P 1'
_symmetry_Int_Tables_number 1
_symmetry_space_group_name_Hall 'P 1'
_cell_length_a 5.658
_cell_length_b 6.430
_cell_length_c 6.430
_cell_angle_alpha 90.00
_cell_angle_beta 90.00
_cell_angle_gamma 90.00
loop_
_atom_site_label
_atom_site_type_symbol
_atom_site_fract_x
_atom_site_fract_y
_atom_site_fract_z
Na1 Na 0.500 0.000 0.000
K1 K 0.000 0.500 0.000
K2 K 0.000 0.000 0.500
Hg1 Hg 0.000 0.000 0.000
N1 N 0.500 0.500 0.500

=====

# KHgNO2 PBEsol optimized geometry
# formation energy without anion corrections = 0.5565 eV/atom
# M_tot = 0.4597 μB/atom
# crystal system = tetragonal
data_KHgNO2
_symmetry_space_group_name_H-M 'P 1'
_symmetry_Int_Tables_number 1
_symmetry_space_group_name_Hall 'P 1'
_cell_length_a 4.253
_cell_length_b 4.312
_cell_length_c 4.312
_cell_angle_alpha 90.00
_cell_angle_beta 90.00
_cell_angle_gamma 90.00
loop_
_atom_site_label
_atom_site_type_symbol
_atom_site_fract_x
_atom_site_fract_y
_atom_site_fract_z
O1 O 0.000 0.000 0.500
O2 O 0.000 0.500 0.000
Hg1 Hg 0.000 0.000 0.000
K1 K 0.500 0.500 0.500
N1 N 0.500 0.000 0.000

=====

# KHg2PN PBEsol optimized geometry
# formation energy without anion corrections = 0.7378 eV/atom
# M_tot = 0.2274 μB/atom
# crystal system = tetragonal
data_KHg2PN
_symmetry_space_group_name_H-M 'P 1'
_symmetry_Int_Tables_number 1
_symmetry_space_group_name_Hall 'P 1'
_cell_length_a 4.485
_cell_length_b 4.485
_cell_length_c 5.230
_cell_angle_alpha 90.00
_cell_angle_beta 90.00
_cell_angle_gamma 90.00
loop_
_atom_site_label
_atom_site_type_symbol
_atom_site_fract_x
_atom_site_fract_y
_atom_site_fract_z
K1 K 0.000 0.000 0.500
Hg1 Hg 0.000 0.500 0.000
Hg2 Hg 0.500 0.000 0.000
N1 N 0.000 0.000 0.000
P1 P 0.500 0.500 0.500

=====

# KNaHg2 PBEsol optimized geometry
# formation enthalpy at 0 K = -0.1734 eV per atom
# M_tot = 0.0000 μB/atom
# crystal system = cubic
data_KNaHg2
_symmetry_space_group_name_H-M 'P 1'
_symmetry_Int_Tables_number 1
_symmetry_space_group_name_Hall 'P 1'
_cell_length_a 5.485
_cell_length_b 5.485
_cell_length_c 5.485
_cell_angle_alpha 60.00
_cell_angle_beta 60.00
_cell_angle_gamma 60.00
loop_
_atom_site_label
_atom_site_type_symbol
_atom_site_fract_x
_atom_site_fract_y
_atom_site_fract_z
K1 K 0.500 0.500 0.500
Hg1 Hg 0.250 0.250 0.250
Hg2 Hg 0.750 0.750 0.750
Na1 Na 0.000 0.000 0.000

=====

# K2NaHg2 PBEsol optimized geometry
# formation enthalpy at 0 K = -0.0931 eV per atom
# M_tot = 0.0000 μB/atom
# crystal system = tetragonal
data_K2NaHg2
_symmetry_space_group_name_H-M 'P 1'
_symmetry_Int_Tables_number 1
_symmetry_space_group_name_Hall 'P 1'
_cell_length_a 3.598
_cell_length_b 9.968
_cell_length_c 9.968
_cell_angle_alpha 90.00
_cell_angle_beta 90.00
_cell_angle_gamma 90.00
loop_
_atom_site_label
_atom_site_type_symbol
_atom_site_fract_x
_atom_site_fract_y
_atom_site_fract_z
Na1 Na 0.000 0.000 0.000
Na2 Na 0.000 0.500 0.500
K1 K 0.000 0.818 0.682
K2 K 0.000 0.318 0.818
K3 K 0.000 0.682 0.182
K4 K 0.000 0.182 0.318
Hg1 Hg 0.500 0.607 0.893
Hg2 Hg 0.500 0.107 0.607
Hg3 Hg 0.500 0.893 0.393
Hg4 Hg 0.500 0.393 0.107

=====

# K2NaHg PBEsol optimized geometry
# formation enthalpy at 0 K = -0.0725 eV per atom
# M_tot = 0.0000 μB/atom
# crystal system = cubic
data_K2NaHg
_symmetry_space_group_name_H-M 'P 1'
_symmetry_Int_Tables_number 1
_symmetry_space_group_name_Hall 'P 1'
_cell_length_a 6.094
_cell_length_b 6.094
_cell_length_c 6.094
_cell_angle_alpha 60.00
_cell_angle_beta 60.00
_cell_angle_gamma 60.00
loop_
_atom_site_label
_atom_site_type_symbol
_atom_site_fract_x
_atom_site_fract_y
_atom_site_fract_z
K1 K 0.750 0.750 0.750
K2 K 0.250 0.250 0.250
Na1 Na 0.000 0.000 0.000
Hg1 Hg 0.500 0.500 0.500

=====

# K2NaHgPd PBEsol optimized geometry
# formation enthalpy at 0 K = 0.3548 eV per atom
# M_tot = 0.0001 μB/atom
# crystal system = tetragonal
data_K2NaHgPd
_symmetry_space_group_name_H-M 'P 1'
_symmetry_Int_Tables_number 1
_symmetry_space_group_name_Hall 'P 1'
_cell_length_a 4.934
_cell_length_b 6.182
_cell_length_c 6.182
_cell_angle_alpha 90.00
_cell_angle_beta 90.00
_cell_angle_gamma 90.00
loop_
_atom_site_label
_atom_site_type_symbol
_atom_site_fract_x
_atom_site_fract_y
_atom_site_fract_z
Hg1 Hg 0.500 0.500 0.500
K1 K 0.000 0.500 0.000
K2 K 0.000 0.000 0.500
Na1 Na 0.000 0.000 0.000
Pd1 Pd 0.500 0.000 0.000